1.
{
  "formula": "Y2Si2Ru",
  "functional": "PBE",
  "state": "optimized geometry",
  "space_group": "P4/mbm",
  "energy_ev_per_atom": -7.393,
  "rho_g_cm3": 5.781,
  "formation_energy_uncorrected_ev_per_atom": -0.783,
  "total_magnetization_mub_per_atom": 0.000,
  "cell": [[-4.647, -2.938, -3.780], [4.457, -0.733, -4.910], [1.132, -3.853, 1.603]],
  "species": ["Y", "Y", "Y", "Y", "Ru", "Ru", "Si", "Si", "Si", "Si"],
  "frac_coords": [[0.177, 0.677, 0.500], [0.677, 0.823, 0.500], [0.823, 0.323, 0.500], [0.323, 0.177, 0.500], [0.000, 0.000, 0.000], [0.500, 0.500, 0.000], [0.370, 0.870, 0.000], [0.870, 0.630, 0.000], [0.630, 0.130, 0.000], [0.130, 0.370, 0.000]]
}

***

2.
{
  "formula": "Y2SiRu",
  "functional": "PBE",
  "state": "optimized geometry",
  "space_group": "I-42d",
  "energy_ev_per_atom": -6.862,
  "rho_g_cm3": 5.686,
  "formation_energy_uncorrected_ev_per_atom": 0.045,
  "total_magnetization_mub_per_atom": 0.000,
  "cell": [[-2.583, 7.127, 0.833], [-0.364, -1.014, 7.550], [1.423, 4.074, 4.468]],
  "species": ["Y", "Y", "Y", "Y", "Ru", "Ru", "Si", "Si"],
  "frac_coords": [[0.655, 0.125, 0.250], [0.095, 0.625, 0.250], [0.375, 0.345, 0.750], [0.875, 0.905, 0.750], [0.000, 0.000, 0.000], [0.750, 0.250, 0.500], [0.500, 0.500, 0.000], [0.250, 0.750, 0.500]]
}

***

3.
{
  "formula": "Y3Si2Ru",
  "functional": "PBE",
  "state": "optimized geometry",
  "space_group": "Pnma",
  "energy_ev_per_atom": -7.289,
  "rho_g_cm3": 5.194,
  "formation_energy_uncorrected_ev_per_atom": -0.704,
  "total_magnetization_mub_per_atom": 0.000,
  "cell": [[-2.714, -3.071, 0.741], [8.507, -7.413, 0.440], [1.016, 1.839, 11.333]],
  "species": ["Y", "Y", "Y", "Y", "Y", "Y", "Y", "Y", "Y", "Y", "Y", "Y", "Si", "Si", "Si", "Si", "Si", "Si", "Si", "Si", "Ru", "Ru", "Ru", "Ru"],
  "frac_coords": [[0.250, 0.379, 0.059], [0.750, 0.621, 0.941], [0.750, 0.879, 0.441], [0.250, 0.121, 0.559], [0.250, 0.700, 0.212], [0.750, 0.300, 0.788], [0.750, 0.200, 0.288], [0.250, 0.800, 0.712], [0.250, 0.444, 0.378], [0.750, 0.556, 0.622], [0.750, 0.944, 0.122], [0.250, 0.056, 0.878], [0.250, 0.686, 0.479], [0.750, 0.314, 0.521], [0.750, 0.186, 0.021], [0.250, 0.814, 0.979], [0.250, 0.008, 0.304], [0.750, 0.992, 0.696], [0.750, 0.508, 0.196], [0.250, 0.492, 0.804], [0.250, 0.140, 0.128], [0.750, 0.860, 0.872], [0.750, 0.640, 0.372], [0.250, 0.360, 0.628]]
}

***

4.
{
  "formula": "Y2Si2Ru",
  "functional": "PBE",
  "state": "optimized geometry",
  "space_group": "P4/mbm",
  "energy_ev_per_atom": -6.576,
  "rho_g_cm3": 4.991,
  "formation_energy_uncorrected_ev_per_atom": 0.034,
  "total_magnetization_mub_per_atom": 0.000,
  "cell": [[-6.371, 1.068, 3.970], [-3.674, -4.762, -4.616], [0.943, -2.968, 2.311]],
  "species": ["Y", "Y", "Y", "Y", "Ru", "Ru", "Si", "Si", "Si", "Si"],
  "frac_coords": [[0.313, 0.813, 0.000], [0.813, 0.687, 0.000], [0.687, 0.187, 0.000], [0.187, 0.313, 0.000], [0.000, 0.000, 0.000], [0.500, 0.500, 0.000], [0.107, 0.607, 0.500], [0.607, 0.893, 0.500], [0.893, 0.393, 0.500], [0.393, 0.107, 0.500]]
}

***

Number 4 is which compound?
Y2Si2Ru

***

Number 3 is which compound?
Y3Si2Ru